1.
DFT (PBE) results for an optimized crystal structure of Cu2Pd2Pt3.

## Properties
calculated total energy: -37.4 eV per formula unit
ΔE_f: -0.10 eV per atom

Geometry as CIF:
```
data_Cu2Pd2Pt3
_space_group_name_H-M_alt 'P -1'
_space_group_IT_number 2
_space_group_name_Hall '-P 1'
_cell_length_a 2.756
_cell_length_b 6.065
_cell_length_c 6.757
_cell_angle_alpha 69.30
_cell_angle_beta 89.97
_cell_angle_gamma 76.88
loop_
_atom_site_label
_atom_site_type_symbol
_atom_site_fract_x
_atom_site_fract_y
_atom_site_fract_z
Cu1 Cu 0.074 0.354 0.218
Pd1 Pd 0.366 0.769 0.068
Pt1 Pt 0.215 0.069 0.646
Pt2 Pt 0.500 0.500 0.500
```

---

2.
DFT (PBE) results for an optimized crystal structure of LaTmNi10.

## Properties
calculated total energy: -70.9 eV per formula unit
ΔE_f: -0.31 eV per atom

Geometry as CIF:
```
data_LaTmNi10
_space_group_name_H-M_alt 'P m m m'
_space_group_IT_number 47
_space_group_name_Hall '-P 2 2'
_cell_length_a 3.967
_cell_length_b 4.920
_cell_length_c 8.529
_cell_angle_alpha 90.00
_cell_angle_beta 90.00
_cell_angle_gamma 90.00
loop_
_atom_site_label
_atom_site_type_symbol
_atom_site_fract_x
_atom_site_fract_y
_atom_site_fract_z
La1 La 0.000 0.000 0.000
Tm1 Tm 0.000 0.500 0.500
Ni1 Ni 0.000 0.000 0.339
Ni2 Ni 0.000 0.500 0.173
Ni3 Ni 0.500 0.000 0.500
Ni4 Ni 0.500 0.254 0.257
Ni5 Ni 0.500 0.500 0.000
```

---

3.
DFT (PBE) results for an optimized crystal structure of AcTb6Nd12.

## Properties
calculated total energy: -85.5 eV per formula unit
ΔE_f: 0.19 eV per atom

Geometry as CIF:
```
data_AcTb6Nd12
_space_group_name_H-M_alt 'R -3 m'
_space_group_IT_number 166
_space_group_name_Hall '-R 3 2"'
_cell_length_a 13.6242
_cell_length_b 13.6242
_cell_length_c 12.7138
_cell_angle_alpha 90.00
_cell_angle_beta 90.00
_cell_angle_gamma 120.00
loop_
_atom_site_label
_atom_site_type_symbol
_atom_site_fract_x
_atom_site_fract_y
_atom_site_fract_z
Ac1 Ac 0.0000 0.0000 0.0000
Tb1 Tb 0.0373 0.5186 0.6196
Nd1 Nd 0.0000 0.2597 0.5000
Nd2 Nd 0.0909 0.1818 0.2632
```

---

4.
DFT (PBE) results for an optimized crystal structure of CePrRhBr.

## Properties
energy relative to the elements, uncorrected: -1.011 eV per atom
calculated total energy: -23.8 eV per formula unit

Geometry as CIF:
```
data_CePrRhBr
_space_group_name_H-M_alt 'R 3 m'
_space_group_IT_number 160
_space_group_name_Hall 'R 3 -2"'
_cell_length_a 4.0618
_cell_length_b 4.0618
_cell_length_c 23.9336
_cell_angle_alpha 90.00
_cell_angle_beta 90.00
_cell_angle_gamma 120.00
loop_
_atom_site_label
_atom_site_type_symbol
_atom_site_fract_x
_atom_site_fract_y
_atom_site_fract_z
Ce1 Ce 0.0000 0.0000 0.0000
Pr1 Pr 0.0000 0.0000 0.7986
Rh1 Rh 0.0000 0.0000 0.3938
Br1 Br 0.0000 0.0000 0.5661
```